Below is a geometry-optimized Na2ThPaSe4 structure, with properties calculated at the PBE-GGA level.

a b c (Å): 7.1326 4.0894 7.6424
angles (deg): 90.00 107.92 90.00
Fractional positions:
Na1 0.0000 0.0000 0.0000
Na2 0.5000 0.5000 0.0000
Th1 0.0000 0.5000 0.5000
Pa1 0.5000 0.0000 0.5000
Se1 0.2531 0.0000 0.7434
Se2 0.2579 0.5000 0.2597
Se3 0.7421 0.5000 0.7403
Se4 0.7469 0.0000 0.2566

* calculated density: 6.46 g/cm3
* symmetry: No. 10
* uncorrected formation energy: -10.93 eV per formula unit
* N(E_F): 7.02 states/eV per cell


Below is a geometry-optimized Zn2CdN2 structure, with properties calculated at the PBE-GGA level.

a b c (Å): 3.4681 3.4681 6.1047
angles (deg): 90.00 90.00 120.00
Fractional positions:
Zn1 0.3333 0.6667 0.3519
Zn2 0.6667 0.3333 0.6481
Cd1 0.0000 0.0000 0.0000
N1 0.3333 0.6667 0.7339
N2 0.6667 0.3333 0.2661

* calculated density: 7.08 g/cm3
* symmetry: No. 164
* uncorrected formation energy: 1.56 eV per formula unit
* N(E_F): 0.33 states/eV per cell